Record 1
Density functional theory data (PBE) for a relaxed structure of AgHgP.

Formation energy from the elements, eV/atom: 0.067
Space group: Cm
Calculated density, g/cm³: 7.93
Total moment, μB per formula unit: 0.000

Cell: 7.9558 3.2692 11.4062 Å, 90.00 106.49 90.00°
With the nearest neighbours (Å) after each atom.
Atoms (fractional coordinates):
Ag: 0.2505 0.0000 0.4387  2 P 2.44-2.45
Ag: 0.2505 0.5000 0.9387  2 P 2.44-2.45
Ag: 0.6556 0.0000 0.2785  1 P 2.48
Ag: 0.6556 0.5000 0.7785  1 P 2.48
Hg: 0.9312 0.0000 0.7463  1 P 2.69, 2 Ag 2.84
Hg: 0.9312 0.5000 0.2463  1 P 2.69, 2 Ag 2.84
Hg: 0.6264 0.0000 0.0082  5 Ag 3.03-3.30, 2 Hg 3.27
Hg: 0.6264 0.5000 0.5082  5 Ag 3.03-3.30, 2 Hg 3.27
P: 0.3349 0.0000 0.2484  2 P 2.20, 1 Ag 2.45
P: 0.3349 0.5000 0.7484  2 P 2.20, 1 Ag 2.45
P: 0.1885 0.0000 0.6361  2 P 2.20, 1 Ag 2.44
P: 0.1885 0.5000 0.1361  2 P 2.20, 1 Ag 2.44

***

Record 2
Density functional theory data (PBE) for a relaxed structure of AgHgP2.

Formation energy from the elements, eV/atom: 0.149
Space group: R3m
Calculated density, g/cm³: 8.09
Total moment, μB per formula unit: 0.000

Cell: 8.1063 8.1063 8.1063 Å, 23.77 23.77 23.77°
With the nearest neighbours (Å) after each atom.
Atoms (fractional coordinates):
Ag: 0.5100 0.5100 0.5100  3 P 2.77, 3 Hg 2.95
Hg: 0.7488 0.7488 0.7488  3 Ag 2.95, 3 P 3.08
P: 0.9803 0.9803 0.9803  3 P 2.30
P: 0.2609 0.2609 0.2609  3 P 2.30

***

Record 3
Density functional theory data (PBE) for a relaxed structure of AgHgP3.

Formation energy from the elements, eV/atom: 1.196
Space group: Pm-3m
Calculated density, g/cm³: 5.83
Total moment, μB per formula unit: 0.000

Cell: 4.8548 4.8548 4.8548 Å, 90.00 90.00 90.00°
With the nearest neighbours (Å) after each atom.
Atoms (fractional coordinates):
P: 0.0000 0.5000 0.0000  2 Ag 2.43
P: 0.0000 0.0000 0.5000  2 Ag 2.43
P: 0.5000 0.0000 0.0000  2 Ag 2.43
Hg: 0.5000 0.5000 0.5000  12 P 3.43
Ag: 0.0000 0.0000 0.0000  6 P 2.43

***

Record 4
Density functional theory data (PBE) for a relaxed structure of AgHgP.

Formation energy from the elements, eV/atom: 0.114
Space group: C2/m
Calculated density, g/cm³: 8.67
Total moment, μB per formula unit: 0.000

Cell: 7.5984 3.2574 12.0417 Å, 90.00 119.27 90.00°
With the nearest neighbours (Å) after each atom.
Atoms (fractional coordinates):
Ag: 0.7048 0.0000 0.0245  1 P 2.52
Ag: 0.2952 0.0000 0.9755  1 P 2.52
Ag: 0.7048 0.5000 0.5245  1 P 2.52
Ag: 0.2952 0.5000 0.4755  1 P 2.52
Hg: 0.0557 0.0000 0.6505  1 P 2.64, 2 Ag 2.85
Hg: 0.9443 0.0000 0.3495  1 P 2.64, 2 Ag 2.85
Hg: 0.0557 0.5000 0.1505  1 P 2.64, 2 Ag 2.85
Hg: 0.9443 0.5000 0.8495  1 P 2.64, 2 Ag 2.85
P: 0.4521 0.0000 0.7902  2 P 2.19
P: 0.5479 0.0000 0.2098  2 P 2.19
P: 0.4521 0.5000 0.2902  2 P 2.19
P: 0.5479 0.5000 0.7098  2 P 2.19

***

Record 5
Density functional theory data (PBE) for a relaxed structure of AgHgP2.

Formation energy from the elements, eV/atom: 0.377
Space group: P4/mmm
Calculated density, g/cm³: 7.35
Total moment, μB per formula unit: 0.000

Cell: 3.8315 3.8347 5.6941 Å, 90.00 90.00 90.00°
With the nearest neighbours (Å) after each atom.
Atoms (fractional coordinates):
Ag: 0.5000 0.5000 0.2500  2 Hg 2.85, 8 P 2.90
Hg: 0.5000 0.5000 0.7500  2 Ag 2.85
P: 0.0000 0.0000 0.0690  1 P 2.06
P: 0.0000 0.0000 0.4310  1 P 2.06

***

Record 6
Density functional theory data (PBE) for a relaxed structure of AgHgP2.

Formation energy from the elements, eV/atom: 0.226
Space group: Imm2
Calculated density, g/cm³: 6.99
Total moment, μB per formula unit: 0.000

Cell: 7.6425 7.6425 7.6425 Å, 155.96 150.99 38.02°
With the nearest neighbours (Å) after each atom.
Atoms (fractional coordinates):
Ag: 0.5314 0.5314 0.0000  4 P 2.80, 2 Hg 2.94
Hg: 0.1858 0.6858 0.5000  2 Ag 2.94, 2 Hg 3.18
P: 0.9422 0.9422 0.0000  2 P 2.16
P: 0.8407 0.3407 0.5000  2 P 2.16

***

Record 7
Density functional theory data (PBE) for a relaxed structure of AgHgP.

Formation energy from the elements, eV/atom: 0.163
Space group: P-1
Calculated density, g/cm³: 8.13
Total moment, μB per formula unit: 0.000

Cell: 3.8324 6.8107 6.9818 Å, 127.01 105.68 74.04°
With the nearest neighbours (Å) after each atom.
Atoms (fractional coordinates):
Ag: 0.1674 0.0450 0.7175  2 P 2.50
Ag: 0.4826 0.1634 0.4656  2 P 2.50
P: 0.7987 0.9669 0.9053  1 P 2.09
P: 0.8513 0.2415 0.2778  1 P 2.09
Hg: 0.6502 0.6532 0.3002  1 P 2.61, 1 Ag 2.86
Hg: 0.0002 0.5552 0.8830  1 P 2.61, 1 Ag 2.86

***

Record 8
Density functional theory data (PBE) for a relaxed structure of AgHgP.

Formation energy from the elements, eV/atom: 0.096
Space group: Cm
Calculated density, g/cm³: 8.64
Total moment, μB per formula unit: 0.000

Cell: 7.4184 3.3001 11.7648 Å, 90.00 115.03 90.00°
With the nearest neighbours (Å) after each atom.
Atoms (fractional coordinates):
Ag: 0.2922 0.0000 0.7623  2 P 2.50-2.53
Ag: 0.2922 0.5000 0.2623  2 P 2.50-2.53
Ag: 0.5787 0.0000 0.4814  1 P 2.50
Ag: 0.5787 0.5000 0.9814  1 P 2.50
Hg: 0.9113 0.0000 0.1561  4 Ag 2.96-3.05, 3 Hg 3.29-3.30
Hg: 0.9113 0.5000 0.6561  4 Ag 2.96-3.05, 3 Hg 3.29-3.30
Hg: 0.7466 0.0000 0.8490  1 P 2.75, 2 Ag 2.89
Hg: 0.7466 0.5000 0.3490  1 P 2.75, 2 Ag 2.89
P: 0.3064 0.0000 0.5533  2 P 2.20
P: 0.3064 0.5000 0.0533  2 P 2.20
P: 0.1519 0.0000 0.9248  2 P 2.20
P: 0.1519 0.5000 0.4248  2 P 2.20

***

Record 9
Density functional theory data (PBE) for a relaxed structure of AgHgP2.

Formation energy from the elements, eV/atom: 0.585
Space group: Cmmm
Calculated density, g/cm³: 8.18
Total moment, μB per formula unit: 0.000

Cell: 4.6062 4.6062 3.7179 Å, 90.00 90.00 107.67°
With the nearest neighbours (Å) after each atom.
Atoms (fractional coordinates):
Ag: 0.5000 0.0000 0.5000  2 Hg 2.72, 8 P 2.96
Hg: 0.0000 0.5000 0.5000  2 Ag 2.72, 8 P 2.96
P: 0.0000 0.0000 0.0000  2 P 2.72, 4 Ag 2.96, 4 Hg 2.96
P: 0.5000 0.5000 0.0000  2 P 2.72, 4 Hg 2.96, 4 Ag 2.96

***

Record 10
Density functional theory data (PBE) for a relaxed structure of Ag3HgP.

Formation energy from the elements, eV/atom: 1.076
Space group: Pm-3m
Calculated density, g/cm³: 6.72
Total moment, μB per formula unit: 0.000

Cell: 5.1584 5.1584 5.1584 Å, 90.00 90.00 90.00°
With the nearest neighbours (Å) after each atom.
Atoms (fractional coordinates):
P: 0.5000 0.5000 0.5000  12 Ag 3.65
Hg: 0.0000 0.0000 0.0000  6 Ag 2.58
Ag: 0.0000 0.5000 0.0000  2 Hg 2.58
Ag: 0.0000 0.0000 0.5000  2 Hg 2.58
Ag: 0.5000 0.0000 0.0000  2 Hg 2.58

***

Record 11
Density functional theory data (PBE) for a relaxed structure of AgHgP.

Formation energy from the elements, eV/atom: 0.082
Space group: Cm
Calculated density, g/cm³: 8.40
Total moment, μB per formula unit: 0.000

Cell: 5.8607 3.2893 14.0501 Å, 90.00 97.75 90.00°
With the nearest neighbours (Å) after each atom.
Atoms (fractional coordinates):
Ag: 0.3349 0.0000 0.3582  1 P 2.48
Ag: 0.3349 0.5000 0.8582  1 P 2.48
Ag: 0.7602 0.0000 0.8637  1 P 2.47
Ag: 0.7602 0.5000 0.3637  1 P 2.47
Hg: 0.4315 0.0000 0.6973  1 P 2.58, 1 Ag 2.82
Hg: 0.4315 0.5000 0.1973  1 P 2.58, 1 Ag 2.82
Hg: 0.9158 0.0000 0.2123  1 P 2.68, 3 Ag 2.93-2.98
Hg: 0.9158 0.5000 0.7123  1 P 2.68, 3 Ag 2.93-2.98
P: 0.9779 0.0000 0.0266  2 P 2.20
P: 0.9779 0.5000 0.5266  2 P 2.20
P: 0.2261 0.0000 0.5227  2 P 2.20
P: 0.2261 0.5000 0.0227  2 P 2.20

***

Record 12
Density functional theory data (PBE) for a relaxed structure of AgHgP2.

Formation energy from the elements, eV/atom: 0.144
Space group: P4mm
Calculated density, g/cm³: 7.87
Total moment, μB per formula unit: 0.000

Cell: 3.1597 3.1596 7.8286 Å, 90.00 90.00 90.00°
With the nearest neighbours (Å) after each atom.
Atoms (fractional coordinates):
Ag: 0.0000 0.0000 0.4948  1 P 2.49
Hg: 0.5000 0.5000 0.7455  1 P 2.64
P: 0.0000 0.0000 0.1766  4 P 2.35, 1 Ag 2.49
P: 0.5000 0.5000 0.0830  4 P 2.35

***

Record 13
Density functional theory data (PBE) for a relaxed structure of AgHgP2.

Formation energy from the elements, eV/atom: 0.525
Space group: P4/mmm
Calculated density, g/cm³: 7.79
Total moment, μB per formula unit: 0.000

Cell: 2.7831 2.7831 10.1927 Å, 90.00 90.00 90.00°
With the nearest neighbours (Å) after each atom.
Atoms (fractional coordinates):
Ag: 0.5000 0.5000 0.2500  4 Ag 2.78, 8 P 2.86
Hg: 0.5000 0.5000 0.7500  4 Hg 2.78
P: 0.0000 0.0000 0.0467  4 P 2.78, 4 Ag 2.86
P: 0.0000 0.0000 0.4533  4 P 2.78, 4 Ag 2.86

***

| no. | final energy (eV per atom) |
| --- | --- |
| 1 | -2.7875 |
| 2 | -3.3441 |
| 3 | -2.6803 |
| 4 | -2.7403 |
| 5 | -3.1161 |
| 6 | -3.2671 |
| 7 | -2.6916 |
| 8 | -2.7584 |
| 9 | -2.9086 |
| 10 | -1.7775 |
| 11 | -2.7724 |
| 12 | -3.3489 |
| 13 | -2.9684 |